1.
This record from Alexandria via LeMat-Bulk describes crystalline Li2Cd2GeAu4 at its relaxed geometry. The functional is PBE-GGA.

Cell: 6.1950 6.1950 6.1950 Å, 94.50 117.44 117.44°
With the nearest neighbours (Å) after each atom.
Fractional coordinates of all 9 atoms:
1 Au 0.5518 0.2759 0.2759  1 Ge 2.51, 2 Li 2.65
2 Au 0.0000 0.2759 0.7241  1 Ge 2.51, 2 Li 2.65
3 Au 0.0000 0.7241 0.2759  1 Ge 2.51, 2 Li 2.65
4 Au 0.4482 0.7241 0.7241  1 Ge 2.51, 2 Li 2.65
5 Cd 0.5000 0.7500 0.2500  8 Au 3.11, 4 Li 3.24
6 Cd 0.5000 0.2500 0.7500  8 Au 3.11, 4 Li 3.24
7 Ge 0.0000 0.0000 0.0000  2 Li 2.51, 4 Au 2.51
8 Li 0.0000 0.2982 0.2982  1 Ge 2.51, 4 Au 2.65
9 Li 0.0000 0.7018 0.7018  1 Ge 2.51, 4 Au 2.65

Properties
space-group type: No. 139



2.
This record from Alexandria via LeMat-Bulk describes crystalline Li5Cd2GeAu2 at its relaxed geometry. The functional is PBE-GGA.

Cell: 2.9911 10.9880 10.9880 Å, 90.00 90.00 90.00°
With the nearest neighbours (Å) after each atom.
Fractional coordinates of all 20 atoms:
1 Au 0.0000 0.1371 0.6371  6 Li 2.60
2 Au 0.0000 0.3629 0.1371  6 Li 2.60
3 Au 0.0000 0.8629 0.3629  6 Li 2.60
4 Au 0.0000 0.6371 0.8629  6 Li 2.60
5 Li 0.5000 0.6919 0.4544  2 Au 2.60, 2 Ge 2.63
6 Li 0.5000 0.8081 0.9544  2 Au 2.60, 2 Ge 2.63
7 Li 0.5000 0.0456 0.8081  2 Au 2.60, 2 Ge 2.63
8 Li 0.5000 0.1919 0.0456  2 Au 2.60, 2 Ge 2.63
9 Li 0.5000 0.4544 0.3081  2 Au 2.60, 2 Ge 2.63
10 Li 0.5000 0.0000 0.5000  4 Au 2.60
11 Li 0.5000 0.9544 0.1919  2 Au 2.60, 2 Ge 2.63
12 Li 0.5000 0.5000 0.0000  4 Au 2.60
13 Li 0.5000 0.5456 0.6919  2 Au 2.60, 2 Ge 2.63
14 Li 0.5000 0.3081 0.5456  2 Au 2.60, 2 Ge 2.63
15 Cd 0.0000 0.6715 0.1715  1 Au 2.97, 2 Cd 2.99, 6 Li 3.06-3.19
16 Cd 0.0000 0.1715 0.3285  1 Au 2.97, 2 Cd 2.99, 6 Li 3.06-3.19
17 Cd 0.0000 0.8285 0.6715  1 Au 2.97, 2 Cd 2.99, 6 Li 3.06-3.19
18 Cd 0.0000 0.3285 0.8285  1 Au 2.97, 2 Cd 2.99, 6 Li 3.06-3.19
19 Ge 0.0000 0.5000 0.5000  8 Li 2.63
20 Ge 0.0000 0.0000 0.0000  8 Li 2.63

Properties
space-group type: No. 127



3.
This record from Alexandria via LeMat-Bulk describes crystalline LuCdGeAu at its relaxed geometry. The functional is PBE-GGA.

Cell: 4.8958 4.8958 4.8958 Å, 60.00 60.00 60.00°
With the nearest neighbours (Å) after each atom.
Fractional coordinates of all 4 atoms:
1 Cd 0.5000 0.5000 0.5000  4 Au 3.00, 4 Ge 3.00
2 Lu 0.0000 0.0000 0.0000  4 Au 3.00, 4 Ge 3.00
3 Au 0.7500 0.7500 0.7500  4 Cd 3.00, 4 Lu 3.00
4 Ge 0.2500 0.2500 0.2500  4 Cd 3.00, 4 Lu 3.00

Properties
space-group type: No. 216



4.
This record from Alexandria via LeMat-Bulk describes crystalline Mg2CdGeAu4 at its relaxed geometry. The functional is PBE-GGA.

Cell: 4.7336 4.7336 8.1483 Å, 73.11 73.11 60.00°
With the nearest neighbours (Å) after each atom.
Fractional coordinates of all 8 atoms:
1 Au 0.8723 0.8723 0.3832  4 Mg 2.83-2.92, 3 Ge 2.88, 1 Cd 2.94
2 Au 0.6242 0.6242 0.1275  1 Ge 2.86, 4 Mg 2.88, 3 Cd 2.90
3 Au 0.3758 0.3758 0.8725  1 Ge 2.86, 4 Mg 2.88, 3 Cd 2.90
4 Au 0.1277 0.1277 0.6168  4 Mg 2.83-2.92, 3 Ge 2.88, 1 Cd 2.94
5 Cd 0.0000 0.0000 0.0000  8 Au 2.90-2.94
6 Mg 0.2508 0.2508 0.2475  8 Au 2.83-2.92
7 Mg 0.7492 0.7492 0.7525  8 Au 2.83-2.92
8 Ge 0.5000 0.5000 0.5000  8 Au 2.86-2.88

Properties
space-group type: No. 166



5.
This record from Alexandria via LeMat-Bulk describes crystalline Na2CdGe2Au5 at its relaxed geometry. The functional is PBE-GGA.

Cell: 3.6574 10.6449 10.6449 Å, 90.00 90.00 90.00°
With the nearest neighbours (Å) after each atom.
Fractional coordinates of all 20 atoms:
1 Au 0.5000 0.4367 0.3027  2 Ge 2.68, 2 Cd 2.87
2 Au 0.5000 0.8027 0.9367  2 Ge 2.68, 2 Cd 2.87
3 Au 0.5000 0.9367 0.1973  2 Ge 2.68, 2 Cd 2.87
4 Au 0.5000 0.0000 0.5000  4 Ge 2.70
5 Au 0.5000 0.6973 0.4367  2 Ge 2.68, 2 Cd 2.87
6 Au 0.5000 0.1973 0.0633  2 Ge 2.68, 2 Cd 2.87
7 Au 0.5000 0.0633 0.8027  2 Ge 2.68, 2 Cd 2.87
8 Au 0.5000 0.5633 0.6973  2 Ge 2.68, 2 Cd 2.87
9 Au 0.5000 0.5000 0.0000  4 Ge 2.70
10 Au 0.5000 0.3027 0.5633  2 Ge 2.68, 2 Cd 2.87
11 Na 0.0000 0.6713 0.1713  3 Ge 2.97-3.25, 2 Au 3.16
12 Na 0.0000 0.8287 0.6713  3 Ge 2.97-3.25, 2 Au 3.16
13 Na 0.0000 0.1713 0.3287  3 Ge 2.97-3.25, 2 Au 3.16
14 Na 0.0000 0.3287 0.8287  3 Ge 2.97-3.25, 2 Au 3.16
15 Cd 0.0000 0.5000 0.5000  8 Au 2.87
16 Cd 0.0000 0.0000 0.0000  8 Au 2.87
17 Ge 0.0000 0.6317 0.8683  6 Au 2.68-2.70, 1 Na 2.97
18 Ge 0.0000 0.8683 0.3683  6 Au 2.68-2.70, 1 Na 2.97
19 Ge 0.0000 0.1317 0.6317  6 Au 2.68-2.70, 1 Na 2.97
20 Ge 0.0000 0.3683 0.1317  6 Au 2.68-2.70, 1 Na 2.97

Properties
space-group type: No. 127



6.
This record from Alexandria via LeMat-Bulk describes crystalline NaCd2GeAu4 at its relaxed geometry. The functional is PBE-GGA.

Cell: 4.8039 4.8039 8.3401 Å, 73.26 73.26 60.00°
With the nearest neighbours (Å) after each atom.
Fractional coordinates of all 8 atoms:
1 Ge 0.5000 0.5000 0.5000  8 Au 2.81-2.91
2 Au 0.6191 0.6191 0.1428  1 Ge 2.81, 4 Cd 2.86-2.93, 3 Na 2.99
3 Au 0.1298 0.1298 0.6107  3 Ge 2.91, 4 Cd 3.00-3.04, 1 Na 3.06
4 Au 0.8702 0.8702 0.3893  3 Ge 2.91, 4 Cd 3.00-3.04, 1 Na 3.06
5 Au 0.3809 0.3809 0.8572  1 Ge 2.81, 4 Cd 2.86-2.93, 3 Na 2.99
6 Na 0.0000 0.0000 0.0000  8 Au 2.99-3.06, 6 Cd 3.31
7 Cd 0.2567 0.2567 0.2300  8 Au 2.86-3.04
8 Cd 0.7433 0.7433 0.7700  8 Au 2.86-3.04

Properties
space-group type: No. 166



| no. | DOS at the Fermi energy (states/eV/f.u.) | DFT total energy (Ry per atom) |
| --- | --- | --- |
| 1 | 2.7 | -0.2031 |
| 2 | 3.4 | -0.1889 |
| 3 | 0.7 | -0.2791 |
| 4 | 2.9 | -0.2244 |
| 5 | 2.5 | -0.2282 |
| 6 | 2.7 | -0.2006 |